# 1
First-principles (PBE) data for a relaxed structure of In12Sb5Pb3, as listed in the Alexandria database.

Unit cell a=15.3782 b=15.3782 c=15.3782 alpha=109.47 beta=109.47 gamma=109.47
Atoms (fractional coordinates):
In 0.0599 0.2291 0.1391
In 0.0599 0.3308 0.9208
In 0.0792 0.6391 0.4101
In 0.0792 0.9401 0.6692
In 0.0899 0.7291 0.6692
In 0.0899 0.8609 0.4208
In 0.1391 0.0599 0.2291
In 0.1391 0.5792 0.9101
In 0.1692 0.2291 0.5899
In 0.1692 0.4401 0.5792
In 0.2291 0.1391 0.0599
In 0.2291 0.5899 0.1692
In 0.2709 0.3308 0.9101
In 0.2709 0.4401 0.3609
In 0.3308 0.9101 0.2709
In 0.3308 0.9208 0.0599
In 0.3609 0.2709 0.4401
In 0.3609 0.5899 0.9208
In 0.4101 0.0792 0.6391
In 0.4101 0.8308 0.7709
In 0.4208 0.0899 0.8609
In 0.4208 0.8308 0.5599
In 0.4401 0.3609 0.2709
In 0.4401 0.5792 0.1692
In 0.5599 0.4208 0.8308
In 0.5599 0.6391 0.7291
In 0.5792 0.1692 0.4401
In 0.5792 0.9101 0.1391
In 0.5899 0.1692 0.2291
In 0.5899 0.9208 0.3609
In 0.6391 0.4101 0.0792
In 0.6391 0.7291 0.5599
In 0.6692 0.0792 0.9401
In 0.6692 0.0899 0.7291
In 0.7291 0.5599 0.6391
In 0.7291 0.6692 0.0899
In 0.7709 0.4101 0.8308
In 0.7709 0.8609 0.9401
In 0.8308 0.5599 0.4208
In 0.8308 0.7709 0.4101
In 0.8609 0.4208 0.0899
In 0.8609 0.9401 0.7709
In 0.9101 0.1391 0.5792
In 0.9101 0.2709 0.3308
In 0.9208 0.0599 0.3308
In 0.9208 0.3609 0.5899
In 0.9401 0.6692 0.0792
In 0.9401 0.7709 0.8609
Sb 0.0000 0.0000 0.0000
Sb 0.0000 0.0000 0.5000
Sb 0.0000 0.5000 0.0000
Sb 0.0000 0.5000 0.5000
Sb 0.1250 0.7500 0.8750
Sb 0.1250 0.8750 0.2500
Sb 0.2500 0.1250 0.8750
Sb 0.2500 0.6250 0.3750
Sb 0.3750 0.2500 0.6250
Sb 0.3750 0.6250 0.7500
Sb 0.5000 0.0000 0.0000
Sb 0.5000 0.0000 0.5000
Sb 0.5000 0.5000 0.0000
Sb 0.5000 0.5000 0.5000
Sb 0.6250 0.3750 0.2500
Sb 0.6250 0.7500 0.3750
Sb 0.7500 0.3750 0.6250
Sb 0.7500 0.8750 0.1250
Sb 0.8750 0.1250 0.7500
Sb 0.8750 0.2500 0.1250
Pb 0.1250 0.2500 0.3750
Pb 0.1250 0.3750 0.7500
Pb 0.2500 0.3750 0.1250
Pb 0.2500 0.8750 0.6250
Pb 0.3750 0.1250 0.2500
Pb 0.3750 0.7500 0.1250
Pb 0.6250 0.2500 0.8750
Pb 0.6250 0.8750 0.7500
Pb 0.7500 0.1250 0.3750
Pb 0.7500 0.6250 0.8750
Pb 0.8750 0.6250 0.2500
Pb 0.8750 0.7500 0.6250

Density of states at the Fermi level in states/eV per cell: 26.32
Formation energy without anion corrections in kJ/mol of formula units: 207
SG: Ia-3d

# 2
First-principles (PBE) data for a relaxed structure of SiGePPb2, as listed in the Alexandria database.

Unit cell a=5.6290 b=5.6290 c=4.4208 alpha=90.00 beta=90.00 gamma=90.00
Atoms (fractional coordinates):
Si 0.0000 0.0000 0.0000
Ge 0.5000 0.5000 0.0000
P 0.0000 0.0000 0.5000
Pb 0.0000 0.5000 0.5000
Pb 0.5000 0.0000 0.5000

Density of states at the Fermi level in states/eV per cell: 2.88
Formation energy without anion corrections in kJ/mol of formula units: 289
SG: P4/mmm

# 3
First-principles (PBE) data for a relaxed structure of KSiCl6, as listed in the Alexandria database.

Unit cell a=7.1653 b=7.1653 c=7.1653 alpha=55.19 beta=55.19 gamma=55.19
Atoms (fractional coordinates):
K 0.0000 0.0000 0.0000
Si 0.5000 0.5000 0.5000
Cl 0.1159 0.5863 0.5863
Cl 0.4137 0.4137 0.8841
Cl 0.4137 0.8841 0.4137
Cl 0.5863 0.1159 0.5863
Cl 0.5863 0.5863 0.1159
Cl 0.8841 0.4137 0.4137

Density of states at the Fermi level in states/eV per cell: 9.35
Formation energy without anion corrections in kJ/mol of formula units: -800
SG: R-3m

# 4
First-principles (PBE) data for a relaxed structure of La3PrNi, as listed in the Alexandria database.

Unit cell a=6.4528 b=6.4528 c=14.4103 alpha=111.45 beta=111.45 gamma=34.41
Atoms (fractional coordinates):
La 0.0000 0.0000 0.0000
La 0.0008 0.0008 0.6251
La 0.3197 0.3197 0.1024
La 0.4420 0.4420 0.3813
La 0.6508 0.6508 0.2412
La 0.6530 0.6530 0.8674
Pr 0.2104 0.2104 0.4848
Pr 0.3316 0.3316 0.7622
Ni 0.6770 0.6770 0.6223
Ni 0.9698 0.9698 0.2442

Density of states at the Fermi level in states/eV per cell: 15.02
SG: Cm
Energy relative to the elements in meV/atom: -128

Volume for the records above, in order: 34.995 28.015 28.880 31.325 Å³ per atom